[1]
# KIn3Br6

A geometry-optimized KIn3Br6 structure (PBE, the Alexandria database).

a = 7.505 Å, b = 8.696 Å, c = 11.157 Å
α = 90.00°, β = 93.79°, γ = 90.00°
Fractional coordinates of all 20 atoms:
Br (0.155, 0.258, 0.416)
Br (0.308, 0.838, 0.470)
Br (0.345, 0.758, 0.084)
Br (0.808, 0.662, 0.970)
Br (0.627, 0.426, 0.227)
Br (0.373, 0.574, 0.773)
Br (0.655, 0.242, 0.916)
Br (0.845, 0.742, 0.584)
Br (0.192, 0.338, 0.030)
Br (0.873, 0.926, 0.273)
Br (0.127, 0.074, 0.727)
Br (0.692, 0.162, 0.530)
In (0.529, 0.928, 0.727)
In (0.029, 0.572, 0.227)
In (0.471, 0.072, 0.273)
In (0.500, 0.500, 0.000)
In (0.971, 0.428, 0.773)
In (0.000, 0.000, 0.500)
K (0.500, 0.500, 0.500)
K (0.000, 0.000, 0.000)

Computed properties:
SG: P2_1/c, No. 14
Raw formation energy in eV/atom: -0.9387

---

[2]
# PrGdAgIr

A geometry-optimized PrGdAgIr structure (PBE, the Alexandria database).

a = 5.102 Å, b = 5.102 Å, c = 5.102 Å
α = 60.00°, β = 60.00°, γ = 60.00°
Site moments in Bohr magnetons follow the coordinates.
Fractional coordinates of all 4 atoms:
Ir (0.750, 0.750, 0.750)  -0.07
Gd (0.500, 0.500, 0.500)  7.01
Pr (0.000, 0.000, 0.000)  0.02
Ag (0.250, 0.250, 0.250)  0.00

Computed properties:
SG: F-43m, No. 216
E_form in eV/f.u.: -1.87

---

[3]
# Cs12RbNa3

A geometry-optimized Cs12RbNa3 structure (PBE, the Alexandria database).

a = 7.251 Å, b = 7.251 Å, c = 28.711 Å
α = 90.00°, β = 90.00°, γ = 90.00°
Fractional coordinates of all 16 atoms:
Na (0.000, 0.000, 0.500)
Na (0.000, 0.000, 0.742)
Na (0.000, 0.000, 0.258)
Rb (0.000, 0.000, 0.000)
Cs (0.500, 0.000, 0.620)
Cs (0.500, 0.500, 0.260)
Cs (0.500, 0.500, 0.740)
Cs (0.500, 0.000, 0.861)
Cs (0.000, 0.500, 0.620)
Cs (0.000, 0.500, 0.861)
Cs (0.500, 0.500, 0.000)
Cs (0.500, 0.500, 0.500)
Cs (0.000, 0.500, 0.380)
Cs (0.500, 0.000, 0.380)
Cs (0.000, 0.500, 0.139)
Cs (0.500, 0.000, 0.139)

Computed properties:
SG: P4/mmm, No. 123
E_form in eV/f.u.: 0.41

---

[4]
# HfMo

A geometry-optimized HfMo structure (PBE, the Alexandria database).

a = 5.479 Å, b = 5.479 Å, c = 5.479 Å
α = 90.00°, β = 90.00°, γ = 90.00°
Fractional coordinates of all 8 atoms:
Mo (0.500, 0.500, 0.000)
Mo (0.000, 0.500, 0.500)
Mo (0.000, 0.000, 0.000)
Mo (0.500, 0.000, 0.500)
Hf (0.000, 0.500, 0.000)
Hf (0.500, 0.500, 0.500)
Hf (0.500, 0.000, 0.000)
Hf (0.000, 0.000, 0.500)

Computed properties:
Relative energy among the computed polymorphs in meV per atom: 1066
SG: Fm-3m, No. 225
E_form in eV/f.u.: 1.92

---

[5]
# Cs3Ho3NbS8

A geometry-optimized Cs3Ho3NbS8 structure (PBE, the Alexandria database).

a = 7.894 Å, b = 7.895 Å, c = 9.394 Å
α = 114.85°, β = 90.00°, γ = 119.99°
Site moments in Bohr magnetons follow the coordinates.
Fractional coordinates of all 15 atoms:
Cs (0.500, 0.500, 0.000)  0.00
Cs (0.000, 0.000, 0.000)  0.00
Cs (0.000, 0.500, 0.000)  0.00
S (0.214, 0.960, 0.673)  -0.01
S (0.273, 0.546, 0.319)  0.00
S (0.786, 0.572, 0.327)  -0.01
S (0.727, 0.454, 0.681)  0.00
S (0.786, 0.040, 0.327)  -0.01
S (0.746, 0.960, 0.673)  -0.01
S (0.254, 0.040, 0.327)  -0.01
S (0.214, 0.428, 0.673)  -0.01
Nb (0.000, 0.000, 0.500)  0.79
Ho (0.500, 0.000, 0.500)  0.02
Ho (0.000, 0.500, 0.500)  0.02
Ho (0.500, 0.500, 0.500)  0.02

Computed properties:
SG: R-3m, No. 166
Raw formation energy in eV/atom: -1.6329

---

[6]
# TmPuCdRu

A geometry-optimized TmPuCdRu structure (PBE, the Alexandria database).

a = 5.010 Å, b = 5.010 Å, c = 5.010 Å
α = 60.00°, β = 60.00°, γ = 60.00°
Site moments in Bohr magnetons follow the coordinates.
Fractional coordinates of all 4 atoms:
Ru (0.750, 0.750, 0.750)  -0.39
Tm (0.500, 0.500, 0.500)  0.14
Cd (0.250, 0.250, 0.250)  0.03
Pu (0.000, 0.000, 0.000)  5.22

Computed properties:
Relative energy among the computed polymorphs in meV per atom: 175
SG: F-43m, No. 216
E_form in eV/f.u.: -0.34

---

[7]
# Sr2ZrInAg

A geometry-optimized Sr2ZrInAg structure (PBE, the Alexandria database).

a = 6.097 Å, b = 5.504 Å, c = 6.097 Å
α = 90.00°, β = 90.00°, γ = 90.00°
Fractional coordinates of all 5 atoms:
Sr (0.000, 0.000, 0.500)
Sr (0.500, 0.000, 0.000)
Zr (0.000, 0.000, 0.000)
In (0.000, 0.500, 0.000)
Ag (0.500, 0.500, 0.500)

Computed properties:
SG: P4/mmm, No. 123
E_form in eV/f.u.: 3.86

---

[8]
# Pm2MgTl3

A geometry-optimized Pm2MgTl3 structure (PBE, the Alexandria database).

a = 5.188 Å, b = 6.398 Å, c = 6.844 Å
α = 117.87°, β = 112.27°, γ = 90.00°
Fractional coordinates of all 6 atoms:
Tl (0.000, 0.000, 0.000)
Tl (0.350, 0.350, 0.699)
Tl (0.650, 0.650, 0.301)
Pm (0.677, 0.177, 0.355)
Pm (0.323, 0.823, 0.645)
Mg (0.000, 0.500, 0.000)

Computed properties:
Relative energy among the computed polymorphs in meV per atom: 170
SG: Immm, No. 71
E_form in eV/f.u.: -0.73

---

[9]
# PrEr3Pt

A geometry-optimized PrEr3Pt structure (PBE, the Alexandria database).

a = 5.452 Å, b = 5.452 Å, c = 5.452 Å
α = 90.00°, β = 90.00°, γ = 90.00°
Fractional coordinates of all 5 atoms:
Er (0.000, 0.500, 0.000)
Er (0.500, 0.000, 0.000)
Er (0.000, 0.000, 0.500)
Pr (0.500, 0.500, 0.500)
Pt (0.000, 0.000, 0.000)

Computed properties:
Relative energy among the computed polymorphs in meV per atom: 10
SG: Pm-3m, No. 221
E_form in eV/f.u.: -2.06

---

[10]
# SrHgPd2

A geometry-optimized SrHgPd2 structure (PBE, the Alexandria database).

a = 4.098 Å, b = 4.526 Å, c = 4.526 Å
α = 90.00°, β = 90.00°, γ = 90.00°
Fractional coordinates of all 4 atoms:
Sr (0.500, 0.500, 0.500)
Pd (0.000, 0.000, 0.500)
Pd (0.000, 0.500, 0.000)
Hg (0.500, 0.000, 0.000)

Computed properties:
SG: P4/mmm, No. 123
E_form in eV/f.u.: -1.61

---

[11]
# BaSi2BBr

A geometry-optimized BaSi2BBr structure (PBE, the Alexandria database).

a = 4.293 Å, b = 6.837 Å, c = 4.293 Å
α = 90.00°, β = 90.00°, γ = 90.00°
Fractional coordinates of all 5 atoms:
Ba (0.500, 0.500, 0.500)
Si (0.000, 0.000, 0.500)
Si (0.500, 0.000, 0.000)
Br (0.000, 0.500, 0.000)
B (0.000, 0.000, 0.000)

Computed properties:
SG: P4/mmm, No. 123
Raw formation energy in eV/atom: 0.0992

---

[12]
# SrScCoHg2

A geometry-optimized SrScCoHg2 structure (PBE, the Alexandria database).

a = 5.795 Å, b = 6.142 Å, c = 5.795 Å
α = 90.00°, β = 90.00°, γ = 90.00°
Site moments in Bohr magnetons follow the coordinates.
Fractional coordinates of all 5 atoms:
Co (0.500, 0.500, 0.500)  2.23
Sr (0.000, 0.000, 0.000)  -0.06
Hg (0.500, 0.000, 0.000)  -0.01
Hg (0.000, 0.000, 0.500)  -0.01
Sc (0.000, 0.500, 0.000)  -0.56

Computed properties:
SG: P4/mmm, No. 123
E_form in eV/f.u.: 7.36

---

[13]
# NaOs2W

A geometry-optimized NaOs2W structure (PBE, the Alexandria database).

a = 4.414 Å, b = 4.414 Å, c = 4.414 Å
α = 60.00°, β = 60.00°, γ = 60.00°
Fractional coordinates of all 4 atoms:
Os (0.750, 0.750, 0.750)
Os (0.250, 0.250, 0.250)
Na (0.000, 0.000, 0.000)
W (0.500, 0.500, 0.500)

Computed properties:
Relative energy among the computed polymorphs in meV per atom: 0
SG: Fm-3m, No. 225
E_form in eV/f.u.: 2.50

---

[14]
# K2PmYS4

A geometry-optimized K2PmYS4 structure (PBE, the Alexandria database).

a = 4.112 Å, b = 7.121 Å, c = 7.756 Å
α = 107.80°, β = 90.00°, γ = 90.00°
Fractional coordinates of all 8 atoms:
K (0.500, 0.000, 0.500)
K (0.000, 0.500, 0.500)
S (0.000, 0.741, 0.205)
S (0.500, 0.771, 0.797)
S (0.000, 0.259, 0.795)
S (0.500, 0.229, 0.203)
Pm (0.500, 0.500, 0.000)
Y (0.000, 0.000, 0.000)

Computed properties:
SG: P2/m, No. 10
Raw formation energy in eV/atom: -1.8754

---

[15]
# Sb2AsRu

A geometry-optimized Sb2AsRu structure (PBE, the Alexandria database).

a = 3.238 Å, b = 3.286 Å, c = 8.280 Å
α = 66.61°, β = 90.00°, γ = 90.00°
Site moments in Bohr magnetons follow the coordinates.
Fractional coordinates of all 4 atoms:
Sb (0.000, 0.469, 0.531)  0.00
Sb (0.000, 0.031, 0.969)  0.00
Ru (0.500, 0.750, 0.750)  0.15
As (0.500, 0.250, 0.250)  0.00

Computed properties:
SG: Pmmm, No. 47
Raw formation energy in eV/atom: 0.1778

---

[16]
# Be2AlCl

A geometry-optimized Be2AlCl structure (PBE, the Alexandria database).

a = 2.730 Å, b = 4.656 Å, c = 4.656 Å
α = 90.00°, β = 90.00°, γ = 90.00°
Fractional coordinates of all 4 atoms:
Cl (0.500, 0.500, 0.000)
Al (0.500, 0.000, 0.500)
Be (0.000, 0.000, 0.000)
Be (0.000, 0.500, 0.500)

Computed properties:
Relative energy among the computed polymorphs in meV per atom: 641
SG: P4/mmm, No. 123
Raw formation energy in eV/atom: 0.6133

---

[17]
# BaSr7Ca5

A geometry-optimized BaSr7Ca5 structure (PBE, the Alexandria database).

a = 7.531 Å, b = 10.262 Å, c = 10.262 Å
α = 81.40°, β = 68.47°, γ = 68.47°
Fractional coordinates of all 13 atoms:
Sr (0.354, 0.646, 0.646)
Sr (0.500, 0.205, 0.794)
Sr (0.500, 0.794, 0.205)
Sr (0.998, 0.353, 0.651)
Sr (0.648, 0.352, 0.352)
Sr (0.278, 0.222, 0.222)
Sr (0.998, 0.651, 0.353)
Ca (0.723, 0.777, 0.777)
Ca (0.499, 0.506, 0.997)
Ca (0.998, 0.997, 0.506)
Ca (0.499, 0.997, 0.506)
Ca (0.998, 0.506, 0.997)
Ba (0.008, 0.992, 0.992)

Computed properties:
SG: Imm2, No. 44
E_form in eV/f.u.: 0.69

---

[18]
# Mn2PPt

A geometry-optimized Mn2PPt structure (PBE, the Alexandria database).

a = 4.412 Å, b = 4.412 Å, c = 4.728 Å
α = 91.83°, β = 91.83°, γ = 38.47°
Site moments in Bohr magnetons follow the coordinates.
Fractional coordinates of all 4 atoms:
P (0.539, 0.539, 0.390)  -0.14
Mn (0.986, 0.986, 0.019)  2.77
Mn (0.266, 0.266, 0.297)  2.61
Pt (0.709, 0.709, 0.794)  0.17

Computed properties:
SG: Cm, No. 8
E_form in eV/f.u.: -0.73

---

[19]
# Al2ZnP

A geometry-optimized Al2ZnP structure (PBE, the Alexandria database).

a = 4.737 Å, b = 4.737 Å, c = 4.737 Å
α = 128.48°, β = 128.48°, γ = 75.84°
Fractional coordinates of all 4 atoms:
Zn (0.750, 0.250, 0.500)
P (0.250, 0.750, 0.500)
Al (0.000, 0.000, 0.000)
Al (0.500, 0.500, 0.000)

Computed properties:
Relative energy among the computed polymorphs in meV per atom: 140
SG: I4/mmm, No. 139
E_form in eV/f.u.: 0.63

---

[20]
# AlAg3

A geometry-optimized AlAg3 structure (PBE, the Alexandria database).

a = 2.925 Å, b = 4.656 Å, c = 5.081 Å
α = 90.00°, β = 90.00°, γ = 90.00°
Fractional coordinates of all 4 atoms:
Ag (0.500, 0.000, 0.496)
Ag (0.500, 0.500, 0.830)
Ag (0.000, 0.000, 0.009)
Al (0.000, 0.500, 0.332)

Computed properties:
SG: Pmm2, No. 25
E_form in eV/f.u.: -0.15

---

[21]
# ThPd3Au2

A geometry-optimized ThPd3Au2 structure (PBE, the Alexandria database).

a = 5.329 Å, b = 5.329 Å, c = 10.012 Å
α = 112.36°, β = 112.36°, γ = 64.54°
Fractional coordinates of all 12 atoms:
Pd (0.826, 0.826, 0.651)
Pd (0.159, 0.159, 0.844)
Pd (0.685, 0.685, 0.844)
Pd (0.315, 0.315, 0.156)
Pd (0.174, 0.174, 0.349)
Pd (0.841, 0.841, 0.156)
Au (0.750, 0.250, 0.000)
Au (0.250, 0.750, 0.500)
Au (0.750, 0.250, 0.500)
Au (0.250, 0.750, 0.000)
Th (0.655, 0.655, 0.309)
Th (0.345, 0.345, 0.691)

Computed properties:
Relative energy among the computed polymorphs in meV per atom: 18
SG: Fmmm, No. 69
E_form in eV/f.u.: -3.17

---

[22]
# Sm6Tm4Th

A geometry-optimized Sm6Tm4Th structure (PBE, the Alexandria database).

a = 5.788 Å, b = 5.629 Å, c = 25.725 Å
α = 90.00°, β = 90.00°, γ = 120.94°
Fractional coordinates of all 22 atoms:
Sm (0.127, 0.253, 0.319)
Sm (0.873, 0.747, 0.819)
Sm (0.457, 0.913, 0.250)
Sm (0.198, 0.395, 0.600)
Sm (0.873, 0.747, 0.681)
Sm (0.543, 0.087, 0.750)
Sm (0.802, 0.605, 0.100)
Sm (0.198, 0.395, 0.900)
Sm (0.500, 0.000, 0.500)
Sm (0.500, 0.000, 0.000)
Sm (0.127, 0.253, 0.181)
Sm (0.802, 0.605, 0.400)
Tm (0.846, 0.693, 0.958)
Tm (0.154, 0.307, 0.458)
Tm (0.460, 0.919, 0.376)
Tm (0.460, 0.919, 0.124)
Tm (0.846, 0.693, 0.542)
Tm (0.540, 0.081, 0.876)
Tm (0.540, 0.081, 0.624)
Tm (0.154, 0.307, 0.042)
Th (0.205, 0.410, 0.750)
Th (0.795, 0.590, 0.250)

Computed properties:
SG: Cmcm, No. 63
E_form in eV/f.u.: 1.58

---

[23]
# CaLa2In3

A geometry-optimized CaLa2In3 structure (PBE, the Alexandria database).

a = 5.543 Å, b = 5.543 Å, c = 13.668 Å
α = 90.00°, β = 90.00°, γ = 120.00°
Fractional coordinates of all 12 atoms:
In (0.000, 0.000, 0.248)
In (0.000, 0.000, 0.752)
In (0.667, 0.333, 0.081)
In (0.333, 0.667, 0.919)
In (0.667, 0.333, 0.583)
In (0.333, 0.667, 0.417)
Ca (0.333, 0.667, 0.168)
Ca (0.667, 0.333, 0.832)
La (0.333, 0.667, 0.674)
La (0.000, 0.000, 0.500)
La (0.000, 0.000, 0.000)
La (0.667, 0.333, 0.326)

Computed properties:
SG: P-3m1, No. 164
E_form in eV/f.u.: -3.01

---

[24]
# Tl4PtCl2

A geometry-optimized Tl4PtCl2 structure (PBE, the Alexandria database).

a = 5.342 Å, b = 5.342 Å, c = 9.141 Å
α = 73.01°, β = 73.01°, γ = 90.00°
Fractional coordinates of all 7 atoms:
Tl (0.169, 0.169, 0.662)
Tl (0.831, 0.831, 0.338)
Tl (0.000, 0.500, 0.000)
Tl (0.500, 0.000, 0.000)
Cl (0.356, 0.356, 0.288)
Cl (0.644, 0.644, 0.712)
Pt (0.000, 0.000, 0.000)

Computed properties:
SG: I4/mmm, No. 139
Raw formation energy in eV/atom: -0.5183

---

One value per record, in order, for volume: 36.33, 23.47, 94.34, 20.56, 29.56, 22.23, 40.92, 30.24, 32.41, 20.99, 25.20, 41.26, 15.21, 27.03, 20.22, 14.80, 52.79, 14.31, 15.84, 17.30, 19.10, 32.67, 30.30, 33.94 Å³ per atom.
One value per record, in order, for calculated density: 3.9, 10.6, 1.9, 11.1, 4.7, 11.7, 4.0, 8.5, 8.6, 9.9, 3.7, 4.8, 16.0, 3.4, 8.6, 2.3, 2.3, 9.7, 3.9, 8.4, 13.7, 8.4, 6.0, 7.6 g/cm3.